VASP calculation (PBE) on a relaxed GaPt crystal.

Values from the calculation:
Electronic total energy ... -75.2 eV per cell
Calculated formation energy ... -16.2 kJ per mole of atoms
D(E_F) ... 8.28 states/eV/cell

abc: 7.678 7.678 7.678
angles: 90.00 90.00 90.00
Positions (direct):
Ga: 0.191 0.191 0.191
Ga: 0.191 0.809 0.809
Ga: 0.309 0.309 0.691
Ga: 0.309 0.691 0.309
Ga: 0.691 0.309 0.309
Ga: 0.691 0.691 0.691
Ga: 0.809 0.191 0.809
Ga: 0.809 0.809 0.191
Pt: 0.131 0.131 0.869
Pt: 0.131 0.869 0.131
Pt: 0.369 0.369 0.369
Pt: 0.369 0.631 0.631
Pt: 0.631 0.369 0.631
Pt: 0.631 0.631 0.369
Pt: 0.869 0.131 0.131
Pt: 0.869 0.869 0.869